A geometry-optimized LiMoPd2Se structure, computed with PBE.

Cell: 4.904 4.800 4.904 Å, 90.00 90.00 90.00°
Fractional positions:
Mo  0.000  0.000  0.000
Se  0.000  0.500  0.000
Pd  0.000  0.000  0.500
Pd  0.500  0.000  0.000
Li  0.500  0.500  0.500

Space-group type ... No. 123
Density of states at the Fermi level ... 0.671 states/eV/atom
Theoretical density ... 5.68 Mg/m³
Uncorrected energy ... -4.948 eV/atom


A geometry-optimized GdPaFe2 structure, computed with PBE.

Cell: 3.307 3.307 6.855 Å, 90.00 90.00 90.00°
Last column: magnetic moment on the atom in μB.
Fractional positions:
Gd  0.500  0.500  0.500  7.15
Pa  0.500  0.500  0.000  0.51
Fe  0.000  0.000  0.799  -0.88
Fe  0.000  0.000  0.201  -0.88

Space-group type ... No. 123
Density of states at the Fermi level ... 0.948 states/eV/atom
Theoretical density ... 11.07 Mg/m³
Uncorrected energy ... -10.175 eV/atom


A geometry-optimized Li2AgF structure, computed with PBE.

Cell: 5.784 5.784 5.564 Å, 58.68 58.68 90.00°
Fractional positions:
Li  0.494  0.125  0.250
Li  0.256  0.625  0.250
Li  0.375  0.506  0.750
Li  0.875  0.744  0.750
Ag  0.000  0.000  0.000
Ag  0.750  0.250  0.500
F  0.500  0.500  0.000
F  0.250  0.750  0.500

Space-group type ... No. 122
Density of states at the Fermi level ... 0.340 states/eV/atom
Theoretical density ... 3.70 Mg/m³
Uncorrected energy ... -3.512 eV/atom


A geometry-optimized Mn3Br structure, computed with PBE.

Cell: 3.097 3.097 7.223 Å, 90.00 90.00 90.00°
Last column: magnetic moment on the atom in μB.
Fractional positions:
Br  0.000  0.000  0.000  0.08
Mn  0.500  0.500  0.288  3.67
Mn  0.000  0.000  0.500  -3.29
Mn  0.500  0.500  0.712  3.67

Space-group type ... No. 123
Density of states at the Fermi level ... 0.747 states/eV/atom
Theoretical density ... 5.86 Mg/m³
Uncorrected energy ... -6.882 eV/atom


A geometry-optimized HfSc2O structure, computed with PBE.

Cell: 2.950 2.950 7.746 Å, 90.00 90.00 90.00°
Fractional positions:
Sc  0.000  0.000  0.815
Sc  0.000  0.000  0.185
Hf  0.500  0.500  0.500
O  0.500  0.500  0.000

Space-group type ... No. 123
Density of states at the Fermi level ... 0.829 states/eV/atom
Theoretical density ... 7.01 Mg/m³
Uncorrected energy ... -7.877 eV/atom